# 1
A relaxed structure of PaInGa2I8. Source: Alexandria via LeMat-Bulk, functional GGA-PBE.

```
PaInGa2I8
1.0
-6.319 3.221 3.658
-4.093 -1.172 -6.003
-2.488 -8.759 3.394
Ga I In Pa
2 8 1 1
Direct
0.500 0.500 0.721
0.500 0.500 0.279
0.342 0.273 0.500
0.147 0.766 0.782
0.303 0.226 0.000
0.697 0.774 0.000
0.854 0.234 0.781
0.658 0.727 0.500
0.853 0.234 0.218
0.146 0.766 0.219
0.000 0.000 0.500
0.000 0.000 0.000
```

Calculated values
The value obtained for the uncorrected formation energy is -0.64 eV per atom. The value obtained for the raw total energy is -3.2009 eV/atom. The value obtained for the total magnetization is 0.00 μB/f.u.



# 2
A relaxed structure of Hf2ZnPd3. Source: Alexandria via LeMat-Bulk, functional GGA-PBE.

```
Hf2ZnPd3
1.0
-2.578 -4.498 1.177
5.700 -2.287 3.745
-5.488 3.834 2.631
Pd Hf Zn
6 4 2
Direct
0.547 0.791 0.210
0.547 0.210 0.791
0.320 0.349 0.349
0.820 0.651 0.651
0.047 0.209 0.790
0.047 0.790 0.209
0.797 0.201 0.458
0.297 0.799 0.542
0.797 0.458 0.201
0.297 0.542 0.799
0.060 0.007 0.007
0.560 0.993 0.993
```

Calculated values
The value obtained for the raw total energy is -6.5536 eV/atom. The relative energy among the computed polymorphs comes out at 221.9 meV/atom. The value obtained for the total magnetization is 0.00 μB/f.u. The energy relative to the elements comes out at -0.43 eV per atom.



# 3
A relaxed structure of BeFeP2Cl. Source: Alexandria via LeMat-Bulk, functional GGA-PBE.

```
BeFeP2Cl
1.0
4.223 0.000 0.000
0.000 4.223 0.000
0.000 0.000 5.024
P Cl Be Fe
2 1 1 1
Direct
0.000 0.500 0.000
0.500 0.000 0.000
0.000 0.000 0.500
0.500 0.500 0.500
0.000 0.000 0.000
```

Calculated values
The value obtained for the uncorrected formation energy is 0.70 eV per atom. The value obtained for the raw total energy is -4.2669 eV/atom. The relative energy among the computed polymorphs comes out at 0.0 meV/atom. The value obtained for the total magnetization is 0.00 μB/f.u.



# 4
A relaxed structure of CsPuO3. Source: Alexandria via LeMat-Bulk, functional GGA-PBE.

```
CsPuO3
1.0
3.577 0.000 0.000
0.000 12.162 0.000
0.000 0.000 9.700
O Pu Cs
12 4 4
Direct
0.750 0.559 0.324
0.250 0.941 0.824
0.250 0.081 0.453
0.750 0.614 0.792
0.750 0.114 0.708
0.250 0.441 0.676
0.250 0.386 0.208
0.750 0.419 0.953
0.250 0.886 0.292
0.250 0.581 0.047
0.750 0.919 0.547
0.750 0.059 0.176
0.250 0.019 0.655
0.750 0.981 0.345
0.250 0.519 0.845
0.750 0.481 0.155
0.250 0.688 0.509
0.750 0.312 0.491
0.250 0.188 0.991
0.750 0.812 0.009
```

Calculated values
The value obtained for the uncorrected formation energy is -2.43 eV per atom. The value obtained for the raw total energy is -8.4467 eV/atom. The value obtained for the total magnetization is 3.00 μB/f.u.



# 5
A relaxed structure of La6CePr8. Source: Alexandria via LeMat-Bulk, functional GGA-PBE.

```
La6CePr8
1.0
8.064 0.114 3.881
2.486 7.672 3.881
0.154 0.114 8.948
La Pr Ce
6 8 1
Direct
0.458 0.761 0.906
0.906 0.458 0.761
0.239 0.094 0.542
0.542 0.239 0.094
0.761 0.906 0.458
0.094 0.542 0.239
0.232 0.886 0.298
0.298 0.232 0.886
0.114 0.702 0.768
0.702 0.768 0.114
0.768 0.114 0.702
0.578 0.578 0.578
0.886 0.298 0.232
0.422 0.422 0.422
0.000 0.000 0.000
```

Calculated values
The value obtained for the raw total energy is -4.8125 eV/atom. The value obtained for the total magnetization is 1.42 μB/f.u. The energy relative to the elements comes out at 0.10 eV per atom.



# 6
A relaxed structure of AcEu2Zn. Source: Alexandria via LeMat-Bulk, functional GGA-PBE.

```
AcEu2Zn
1.0
3.833 0.000 0.000
0.000 3.833 0.000
0.000 0.000 9.464
Eu Zn Ac
2 1 1
Direct
0.000 0.000 0.190
0.000 0.000 0.810
0.500 0.500 0.000
0.500 0.500 0.500
```

Calculated values
The value obtained for the raw total energy is -6.5897 eV/atom. The relative energy among the computed polymorphs comes out at 0.0 meV/atom. The value obtained for the total magnetization is 14.47 μB/f.u. The energy relative to the elements comes out at -0.11 eV per atom.



The lowest raw total energy belongs to which entry? CsPuO3



What is the raw total energy in the first record? -3.2009 eV/atom



Which value of raw total energy does entry 6 give? -6.5897 eV/atom